The following is a DFT calculation (PBE+U) of WClF2 after structural relaxation.

## Properties
Electronic total energy, eV/cell: -36.587
Volume, Å³ per cell: 153
Theoretical density, Mg/m³: 5.57

a = 7.559 Å, b = 7.559 Å, c = 7.559 Å
α = 143.31°, β = 143.31°, γ = 52.87°
Sites, in units of the cell vectors:
W1 0.000 0.000 0.000
W2 0.750 0.250 0.500
Cl1 0.250 0.750 0.500
Cl2 0.500 0.500 0.000
F1 0.375 0.127 0.252
F2 0.873 0.125 0.248
F3 0.875 0.123 0.748
F4 0.877 0.625 0.752